[1]
## Li4Mg3USe8 (PBE-GGA)

Data for an optimized crystal structure of Li4Mg3USe8.

Cell and atoms, written as CIF:
```
data_Li4Mg3USe8
_cell_length_a 7.8327
_cell_length_b 7.8327
_cell_length_c 19.1647
_cell_angle_alpha 90.00
_cell_angle_beta 90.00
_cell_angle_gamma 120.00
_space_group_name_H-M_alt 'R -3 m'
_space_group_IT_number 166
_space_group_name_Hall '-R 3 2"'
loop_
_atom_site_label
_atom_site_type_symbol
_atom_site_fract_x
_atom_site_fract_y
_atom_site_fract_z
Li1 Li 0.0000 0.0000 0.0000
Li2 Li 0.0000 0.5000 0.0000
Mg1 Mg 0.0000 0.5000 0.5000
U1 U 0.0000 0.0000 0.5000
Se1 Se 0.0000 0.0000 0.2423
Se2 Se 0.0088 0.5044 0.2495
```

[2]
## Li3Mg2USe6 (PBE-GGA)

Data for an optimized crystal structure of Li3Mg2USe6.

Cell and atoms, written as CIF:
```
data_Li3Mg2USe6
_cell_length_a 6.7770
_cell_length_b 11.7373
_cell_length_c 6.8486
_cell_angle_alpha 90.00
_cell_angle_beta 109.22
_cell_angle_gamma 90.00
_space_group_name_H-M_alt 'C 1 2/m 1'
_space_group_IT_number 12
loop_
_space_group_symop_operation_xyz
'x,y,z'
'-x,-y,-z'
'-x,y,-z'
'x,-y,z'
'x+1/2,y+1/2,z'
'-x+1/2,-y+1/2,-z'
'-x+1/2,y+1/2,-z'
'x+1/2,-y+1/2,z'
loop_
_atom_site_label
_atom_site_type_symbol
_atom_site_fract_x
_atom_site_fract_y
_atom_site_fract_z
Li1 Li 0.0000 0.0000 0.0000
Li2 Li 0.0000 0.3365 0.0000
Mg1 Mg 0.0000 0.1672 0.5000
U1 U 0.0000 0.5000 0.5000
Se1 Se 0.2476 0.0000 0.7445
Se2 Se 0.2485 0.3333 0.7471
```

[3]
## Li3MgU3Se8 (PBE-GGA)

Data for an optimized crystal structure of Li3MgU3Se8.

Cell and atoms, written as CIF:
```
data_Li3MgU3Se8
_cell_length_a 13.8343
_cell_length_b 8.0686
_cell_length_c 8.0100
_cell_angle_alpha 90.00
_cell_angle_beta 124.51
_cell_angle_gamma 90.00
_space_group_name_H-M_alt 'C 1 2/m 1'
_space_group_IT_number 12
loop_
_space_group_symop_operation_xyz
'x,y,z'
'-x,-y,-z'
'-x,y,-z'
'x,-y,z'
'x+1/2,y+1/2,z'
'-x+1/2,-y+1/2,-z'
'-x+1/2,y+1/2,-z'
'x+1/2,-y+1/2,z'
loop_
_atom_site_label
_atom_site_type_symbol
_atom_site_fract_x
_atom_site_fract_y
_atom_site_fract_z
Li1 Li 0.0000 0.0000 0.0000
Li2 Li 0.2500 0.2500 0.5000
Mg1 Mg 0.0000 0.0000 0.5000
U1 U 0.0000 0.5000 0.5000
U2 U 0.2500 0.2500 0.0000
Se1 Se 0.9999 0.2449 0.2547
Se2 Se 0.2453 0.0000 0.7458
Se3 Se 0.2464 0.0000 0.2535
```

[4]
## LiMg2WSe (PBE-GGA)

Data for an optimized crystal structure of LiMg2WSe.

Cell and atoms, written as CIF:
```
data_LiMg2WSe
_cell_length_a 4.6769
_cell_length_b 4.6769
_cell_length_c 4.5342
_cell_angle_alpha 90.00
_cell_angle_beta 90.00
_cell_angle_gamma 90.00
_space_group_name_H-M_alt 'P 4/m m m'
_space_group_IT_number 123
_space_group_name_Hall '-P 4 2'
loop_
_atom_site_label
_atom_site_type_symbol
_atom_site_fract_x
_atom_site_fract_y
_atom_site_fract_z
Li1 Li 0.0000 0.0000 0.0000
Mg1 Mg 0.0000 0.5000 0.0000
W1 W 0.0000 0.0000 0.5000
Se1 Se 0.5000 0.5000 0.5000
```

[5]
## LiY2MgSe4 (PBE-GGA)

Data for an optimized crystal structure of LiY2MgSe4.

Cell and atoms, written as CIF:
```
data_LiY2MgSe4
_cell_length_a 6.9040
_cell_length_b 3.9963
_cell_length_c 6.9750
_cell_angle_alpha 90.00
_cell_angle_beta 108.95
_cell_angle_gamma 90.00
_space_group_name_H-M_alt 'P 1 2/m 1'
_space_group_IT_number 10
loop_
_space_group_symop_operation_xyz
'x,y,z'
'-x,-y,-z'
'-x,y,-z'
'x,-y,z'
loop_
_atom_site_label
_atom_site_type_symbol
_atom_site_fract_x
_atom_site_fract_y
_atom_site_fract_z
Li1 Li 0.0000 0.0000 0.0000
Y1 Y 0.0000 0.5000 0.5000
Y2 Y 0.5000 0.0000 0.5000
Mg1 Mg 0.5000 0.5000 0.0000
Se1 Se 0.2492 0.5000 0.2376
Se2 Se 0.2557 0.0000 0.7663
```

[6]
## Li2MgZrSe4 (PBE-GGA)

Data for an optimized crystal structure of Li2MgZrSe4.

Cell and atoms, written as CIF:
```
data_Li2MgZrSe4
_cell_length_a 6.7117
_cell_length_b 3.8809
_cell_length_c 6.7859
_cell_angle_alpha 90.00
_cell_angle_beta 108.95
_cell_angle_gamma 90.00
_space_group_name_H-M_alt 'P 1 2/m 1'
_space_group_IT_number 10
loop_
_space_group_symop_operation_xyz
'x,y,z'
'-x,-y,-z'
'-x,y,-z'
'x,-y,z'
loop_
_atom_site_label
_atom_site_type_symbol
_atom_site_fract_x
_atom_site_fract_y
_atom_site_fract_z
Li1 Li 0.0000 0.0000 0.0000
Li2 Li 0.5000 0.5000 0.0000
Mg1 Mg 0.0000 0.5000 0.5000
Zr1 Zr 0.5000 0.0000 0.5000
Se1 Se 0.2491 0.0000 0.7401
Se2 Se 0.2572 0.5000 0.2536
```

[7]
## LiMgSi (PBE-GGA)

Data for an optimized crystal structure of LiMgSi.

Cell and atoms, written as CIF:
```
data_LiMgSi
_cell_length_a 2.8313
_cell_length_b 2.8313
_cell_length_c 12.8663
_cell_angle_alpha 90.00
_cell_angle_beta 90.00
_cell_angle_gamma 90.00
_space_group_name_H-M_alt 'I 4 m m'
_space_group_IT_number 107
_space_group_name_Hall 'I 4 -2'
loop_
_atom_site_label
_atom_site_type_symbol
_atom_site_fract_x
_atom_site_fract_y
_atom_site_fract_z
Li1 Li 0.0000 0.0000 0.0000
Mg1 Mg 0.0000 0.0000 0.6935
Si1 Si 0.0000 0.0000 0.3540
```

[8]
## LiMg2Si (PBE-GGA)

Data for an optimized crystal structure of LiMg2Si.

Cell and atoms, written as CIF:
```
data_LiMg2Si
_cell_length_a 3.0126
_cell_length_b 4.6673
_cell_length_c 5.3662
_cell_angle_alpha 90.00
_cell_angle_beta 93.89
_cell_angle_gamma 90.00
_space_group_name_H-M_alt 'P 1 2/m 1'
_space_group_IT_number 10
loop_
_space_group_symop_operation_xyz
'x,y,z'
'-x,-y,-z'
'-x,y,-z'
'x,-y,z'
loop_
_atom_site_label
_atom_site_type_symbol
_atom_site_fract_x
_atom_site_fract_y
_atom_site_fract_z
Li1 Li 0.0000 0.0000 0.0000
Mg1 Mg 0.2758 0.5000 0.7467
Si1 Si 0.5000 0.0000 0.5000
```

[9]
# Li4MgSi, relaxed, DFT PBE-GGA
# Distance to the lowest polymorph of the same formula in eV per atom: 0.234
data_Li4MgSi
_cell_length_a 7.3042
_cell_length_b 7.3042
_cell_length_c 7.3042
_cell_angle_alpha 90.00
_cell_angle_beta 90.00
_cell_angle_gamma 90.00
_space_group_name_H-M_alt 'F -4 3 m'
_space_group_IT_number 216
_space_group_name_Hall 'F -4 2 3'
loop_
_atom_site_label
_atom_site_type_symbol
_atom_site_fract_x
_atom_site_fract_y
_atom_site_fract_z
Li1 Li 0.1238 0.1238 0.3762
Mg1 Mg 0.0000 0.0000 0.0000
Si1 Si 0.2500 0.2500 0.7500

[10]
## LiMg2Si (PBE-GGA)

Data for an optimized crystal structure of LiMg2Si.

Cell and atoms, written as CIF:
```
data_LiMg2Si
_cell_length_a 3.0281
_cell_length_b 3.0281
_cell_length_c 8.4331
_cell_angle_alpha 90.00
_cell_angle_beta 90.00
_cell_angle_gamma 90.00
_space_group_name_H-M_alt 'P 4/m m m'
_space_group_IT_number 123
_space_group_name_Hall '-P 4 2'
loop_
_atom_site_label
_atom_site_type_symbol
_atom_site_fract_x
_atom_site_fract_y
_atom_site_fract_z
Li1 Li 0.0000 0.0000 0.0000
Mg1 Mg 0.5000 0.5000 0.2724
Si1 Si 0.0000 0.0000 0.5000
```

[11]
## Li7Mg2Si (PBE-GGA)

Data for an optimized crystal structure of Li7Mg2Si.

Cell and atoms, written as CIF:
```
data_Li7Mg2Si
_cell_length_a 4.4936
_cell_length_b 4.4936
_cell_length_c 10.6753
_cell_angle_alpha 90.00
_cell_angle_beta 90.00
_cell_angle_gamma 120.00
_space_group_name_H-M_alt 'P 3 m 1'
_space_group_IT_number 156
loop_
_space_group_symop_operation_xyz
'x,y,z'
'-y,x-y,z'
'-x+y,-x,z'
'-y,-x,z'
'-x+y,y,z'
'x,x-y,z'
loop_
_atom_site_label
_atom_site_type_symbol
_atom_site_fract_x
_atom_site_fract_y
_atom_site_fract_z
Li1 Li 0.0000 0.0000 0.0000
Li2 Li 0.0000 0.0000 0.2093
Li3 Li 0.0000 0.0000 0.4630
Li4 Li 0.3333 0.6667 0.2110
Li5 Li 0.3333 0.6667 0.9698
Li6 Li 0.6667 0.3333 0.3583
Li7 Li 0.6667 0.3333 0.8510
Mg1 Mg 0.0000 0.0000 0.7339
Mg2 Mg 0.3333 0.6667 0.5828
Si1 Si 0.6667 0.3333 0.1040
```

[12]
## LiMg2Si (PBE-GGA)

Data for an optimized crystal structure of LiMg2Si.

Cell and atoms, written as CIF:
```
data_LiMg2Si
_cell_length_a 2.9686
_cell_length_b 4.1038
_cell_length_c 6.0520
_cell_angle_alpha 90.00
_cell_angle_beta 90.00
_cell_angle_gamma 90.00
_space_group_name_H-M_alt 'P m m 2'
_space_group_IT_number 25
loop_
_space_group_symop_operation_xyz
'x,y,z'
'-x,-y,z'
'-x,y,z'
'x,-y,z'
loop_
_atom_site_label
_atom_site_type_symbol
_atom_site_fract_x
_atom_site_fract_y
_atom_site_fract_z
Li1 Li 0.0000 0.0000 0.0000
Mg1 Mg 0.0000 0.0000 0.5440
Mg2 Mg 0.5000 0.5000 0.2536
Si1 Si 0.5000 0.5000 0.7783
```

Number 1: electronic total energy -210.7 eV/cell, density 4.75 g/cm³. Number 2: electronic total energy -111.8 eV/cell, density 5.04 g/cm³. Number 3: electronic total energy -173.0 eV/cell, density 6.27 g/cm³. Number 4: electronic total energy -16.9 eV/cell, density 5.33 g/cm³. Number 5: electronic total energy -43.0 eV/cell, density 4.79 g/cm³. Number 6: electronic total energy -38.2 eV/cell, density 4.42 g/cm³. Number 7: electronic total energy -18.0 eV/cell, density 1.91 g/cm³. Number 8: electronic total energy -10.4 eV/cell, density 1.84 g/cm³. Number 9: electronic total energy -57.6 eV/cell, density 1.37 g/cm³. Number 10: electronic total energy -10.4 eV/cell, density 1.80 g/cm³. Number 11: electronic total energy -22.1 eV/cell, density 1.11 g/cm³. Number 12: electronic total energy -10.6 eV/cell, density 1.88 g/cm³.